Crystalline NaNiN2F at its relaxed geometry. Source: the Alexandria database, functional PBE+U.

## Properties
Total magnetic moment (μB per atom): 0.02
Calculated total energy (eV/atom): -2.52
Space group: P4/mmm
Relative energy among the computed polymorphs (meV per atom): 1587
Calculated volume (Å³/cell): 70.0

Unit cell a=4.232 b=4.232 c=3.911 alpha=90.00 beta=90.00 gamma=90.00
Sites, in units of the cell vectors:
1 Na 0.000 0.000 0.000
2 Ni 0.500 0.500 0.500
3 N 0.000 0.500 0.000
4 N 0.500 0.000 0.000
5 F 0.000 0.000 0.500